# 1
{"formula": "Pr2ReWN6", "functional": "PBE", "state": "optimized geometry", "cell": [[5.649, 0.000, 0.000], [0.000, 5.627, 0.000], [-5.635, 0.000, 7.896]], "species": ["Pr", "Pr", "Pr", "Pr", "Re", "Re", "W", "W", "N", "N", "N", "N", "N", "N", "N", "N", "N", "N", "N", "N"], "frac_coords": [[0.244, 0.023, 0.250], [0.244, 0.477, 0.750], [0.756, 0.523, 0.250], [0.756, 0.977, 0.750], [0.000, 0.000, 0.500], [0.000, 0.500, 0.000], [0.500, 0.000, 0.000], [0.500, 0.500, 0.500], [0.192, 0.228, 0.966], [0.192, 0.272, 0.466], [0.237, 0.726, 0.966], [0.237, 0.774, 0.466], [0.311, 0.005, 0.748], [0.311, 0.495, 0.248], [0.689, 0.505, 0.752], [0.689, 0.995, 0.252], [0.763, 0.226, 0.534], [0.763, 0.274, 0.034], [0.808, 0.728, 0.534], [0.808, 0.772, 0.034]], "e_form_raw_kcal_per_mol_atoms": -17.96, "dos_at_fermi_per_ev_cell": 4.2, "sg": "No. 14"}

---

# 2
{"formula": "PrZn2ReN4", "functional": "PBE", "state": "optimized geometry", "cell": [[-2.705, 3.107, 3.318], [2.705, -3.107, 3.318], [2.705, 3.107, -3.318]], "species": ["Pr", "Zn", "Zn", "Re", "N", "N", "N", "N"], "frac_coords": [[0.000, 0.000, 0.000], [0.200, 0.700, 0.500], [0.800, 0.300, 0.500], [0.500, 0.500, 0.000], [0.169, 0.135, 0.637], [0.498, 0.532, 0.363], [0.502, 0.865, 0.034], [0.831, 0.468, 0.966]], "e_form_raw_kcal_per_mol_atoms": -6.61, "dos_at_fermi_per_ev_cell": 0.7, "sg": "No. 23"}

---

# 3
{"formula": "Pr3Rh5N12", "functional": "PBE", "state": "optimized geometry", "cell": [[-6.438, 6.438, 6.438], [6.438, -6.438, 6.438], [6.438, 6.438, -6.438]], "species": ["Pr", "Pr", "Pr", "Pr", "Pr", "Pr", "Pr", "Pr", "Pr", "Pr", "Pr", "Pr", "Rh", "Rh", "Rh", "Rh", "Rh", "Rh", "Rh", "Rh", "Rh", "Rh", "Rh", "Rh", "Rh", "Rh", "Rh", "Rh", "Rh", "Rh", "Rh", "Rh", "N", "N", "N", "N", "N", "N", "N", "N", "N", "N", "N", "N", "N", "N", "N", "N", "N", "N", "N", "N", "N", "N", "N", "N", "N", "N", "N", "N", "N", "N", "N", "N", "N", "N", "N", "N", "N", "N", "N", "N", "N", "N", "N", "N", "N", "N", "N", "N"], "frac_coords": [[0.125, 0.250, 0.375], [0.125, 0.375, 0.750], [0.250, 0.375, 0.125], [0.250, 0.875, 0.625], [0.375, 0.125, 0.250], [0.375, 0.750, 0.125], [0.625, 0.250, 0.875], [0.625, 0.875, 0.750], [0.750, 0.125, 0.375], [0.750, 0.625, 0.875], [0.875, 0.625, 0.250], [0.875, 0.750, 0.625], [0.000, 0.000, 0.000], [0.000, 0.000, 0.500], [0.000, 0.500, 0.000], [0.000, 0.500, 0.500], [0.125, 0.750, 0.875], [0.125, 0.875, 0.250], [0.250, 0.125, 0.875], [0.250, 0.625, 0.375], [0.375, 0.250, 0.625], [0.375, 0.625, 0.750], [0.500, 0.000, 0.000], [0.500, 0.000, 0.500], [0.500, 0.500, 0.000], [0.500, 0.500, 0.500], [0.625, 0.375, 0.250], [0.625, 0.750, 0.375], [0.750, 0.375, 0.625], [0.750, 0.875, 0.125], [0.875, 0.125, 0.750], [0.875, 0.250, 0.125], [0.018, 0.201, 0.114], [0.018, 0.317, 0.904], [0.087, 0.701, 0.683], [0.087, 0.886, 0.404], [0.096, 0.614, 0.413], [0.096, 0.982, 0.683], [0.114, 0.018, 0.201], [0.114, 0.596, 0.913], [0.183, 0.201, 0.587], [0.183, 0.482, 0.596], [0.201, 0.114, 0.018], [0.201, 0.587, 0.183], [0.299, 0.317, 0.913], [0.299, 0.482, 0.386], [0.317, 0.904, 0.018], [0.317, 0.913, 0.299], [0.386, 0.299, 0.482], [0.386, 0.587, 0.904], [0.404, 0.087, 0.886], [0.404, 0.817, 0.518], [0.413, 0.096, 0.614], [0.413, 0.817, 0.799], [0.482, 0.386, 0.299], [0.482, 0.596, 0.183], [0.518, 0.404, 0.817], [0.518, 0.614, 0.701], [0.587, 0.183, 0.201], [0.587, 0.904, 0.386], [0.596, 0.183, 0.482], [0.596, 0.913, 0.114], [0.614, 0.413, 0.096], [0.614, 0.701, 0.518], [0.683, 0.087, 0.701], [0.683, 0.096, 0.982], [0.701, 0.518, 0.614], [0.701, 0.683, 0.087], [0.799, 0.413, 0.817], [0.799, 0.886, 0.982], [0.817, 0.518, 0.404], [0.817, 0.799, 0.413], [0.886, 0.404, 0.087], [0.886, 0.982, 0.799], [0.904, 0.018, 0.317], [0.904, 0.386, 0.587], [0.913, 0.114, 0.596], [0.913, 0.299, 0.317], [0.982, 0.683, 0.096], [0.982, 0.799, 0.886]], "e_form_raw_kcal_per_mol_atoms": 4.18, "dos_at_fermi_per_ev_cell": 39.1, "sg": "No. 230"}

---

# 4
{"formula": "Pr4Rh2N", "functional": "PBE", "state": "optimized geometry", "cell": [[-2.457, 2.457, 7.288], [2.457, -2.457, 7.288], [2.457, 2.457, -7.288]], "species": ["Pr", "Pr", "Pr", "Pr", "Rh", "Rh", "N"], "frac_coords": [[0.000, 0.500, 0.500], [0.182, 0.182, 0.000], [0.500, 0.000, 0.500], [0.818, 0.818, 0.000], [0.370, 0.370, 0.000], [0.630, 0.630, 0.000], [0.000, 0.000, 0.000]], "e_form_raw_kcal_per_mol_atoms": -13.46, "dos_at_fermi_per_ev_cell": 6.8, "sg": "No. 139"}

---

# 5
{"formula": "PrSiRhN", "functional": "PBE", "state": "optimized geometry", "cell": [[3.989, 0.000, 0.000], [0.000, 3.989, 0.000], [0.000, 0.000, 8.237]], "species": ["Pr", "Pr", "Si", "Si", "Rh", "Rh", "N", "N"], "frac_coords": [[0.250, 0.250, 0.160], [0.750, 0.750, 0.840], [0.250, 0.250, 0.655], [0.750, 0.750, 0.345], [0.250, 0.750, 0.500], [0.750, 0.250, 0.500], [0.250, 0.250, 0.868], [0.750, 0.750, 0.132]], "e_form_raw_kcal_per_mol_atoms": -27.93, "dos_at_fermi_per_ev_cell": 2.8, "sg": "No. 129"}

---

# 6
{"formula": "Pr3TeRhN", "functional": "PBE", "state": "optimized geometry", "cell": [[9.234, 0.000, 0.000], [0.000, 4.167, 0.000], [-2.184, 0.000, 9.398]], "species": ["Pr", "Pr", "Pr", "Pr", "Pr", "Pr", "Te", "Te", "Rh", "Rh", "N", "N"], "frac_coords": [[0.074, 0.250, 0.363], [0.340, 0.250, 0.987], [0.372, 0.750, 0.658], [0.628, 0.250, 0.342], [0.660, 0.750, 0.013], [0.926, 0.750, 0.637], [0.325, 0.750, 0.282], [0.675, 0.250, 0.718], [0.150, 0.250, 0.658], [0.850, 0.750, 0.342], [0.411, 0.750, 0.898], [0.589, 0.250, 0.102]], "e_form_raw_kcal_per_mol_atoms": -23.51, "dos_at_fermi_per_ev_cell": 5.8, "sg": "No. 11"}